1.
## AcPm6Y5 (PBE-GGA)

Data for a relaxed structure of AcPm6Y5.

Computed properties:
ΔH_f (0 K)   0.02 eV/atom

POSCAR file:
```
AcPm6Y5
1.0
11.9795 -1.4439 0.0000
1.8406 6.0433 0.0000
0.9203 3.0216 5.4713
Y Pm Ac
5 6 1
direct
0.5000 0.5000 0.0000
0.0000 0.6666 0.6669
0.5000 0.8328 0.3344
0.5000 0.1672 0.6656
0.0000 0.3334 0.3331
0.7454 0.7485 0.0000
0.2544 0.9161 0.6642
0.7456 0.4197 0.6642
0.7456 0.0839 0.3358
0.2544 0.5803 0.3358
0.2546 0.2515 0.0000
0.0000 0.0000 0.0000
```

---

2.
## Ac8PmY6 (PBE-GGA)

Data for a relaxed structure of Ac8PmY6.

Computed properties:
ΔH_f (0 K)   0.25 eV/atom

POSCAR file:
```
Ac8PmY6
1.0
-5.2394 -1.6031 -4.6253
6.8147 -1.5208 -7.1924
-2.8643 -7.5979 5.8780
Ac Y Pm
8 6 1
direct
0.7282 0.3333 0.6667
0.8856 0.6925 0.6426
0.8856 0.9501 0.3075
0.8856 0.3574 0.0499
0.1144 0.6426 0.9501
0.1144 0.0499 0.6925
0.1144 0.3075 0.3574
0.2718 0.6667 0.3333
0.4026 0.3296 0.9634
0.5974 0.6704 0.0366
0.5974 0.3662 0.3296
0.5974 0.9634 0.6338
0.4026 0.0366 0.3662
0.4026 0.6338 0.6704
0.5000 0.0000 0.0000
```

---

3.
## Ac4PmY2 (PBE-GGA)

Data for a relaxed structure of Ac4PmY2.

Computed properties:
ΔH_f (0 K)   0.11 eV/atom

POSCAR file:
```
Ac4PmY2
1.0
-2.7957 -4.8912 4.6210
4.7550 -1.5487 -5.2994
8.7220 5.3243 8.4177
Y Ac Pm
4 8 2
direct
0.1825 0.3850 0.9345
0.3849 0.1827 0.4345
0.6998 0.9971 0.0654
0.9973 0.6997 0.5655
0.1010 0.2522 0.6398
0.8648 0.2121 0.3606
0.6699 0.7939 0.7899
0.6318 0.2555 0.7107
0.2553 0.6314 0.2107
0.2123 0.8653 0.8606
0.7941 0.6703 0.2899
0.2527 0.1012 0.1398
0.7334 0.4816 0.0005
0.4815 0.7333 0.5005
```

---

4.
## Ac8Pm2Y3 (PBE-GGA)

Data for a relaxed structure of Ac8Pm2Y3.

Computed properties:
ΔH_f (0 K)   0.05 eV/atom

POSCAR file:
```
Ac8Pm2Y3
1.0
-3.9433 -1.8386 5.0747
0.8058 -6.6147 -0.3045
9.5322 -3.6168 7.5594
Ac Pm Y
8 2 3
direct
0.3838 0.9204 0.7762
0.8456 0.2256 0.6937
0.6933 0.4578 0.3832
0.6162 0.0796 0.2238
0.9169 0.6082 0.8500
0.3067 0.5422 0.6168
0.0831 0.3918 0.1500
0.1544 0.7744 0.3063
0.7667 0.8503 0.5371
0.2333 0.1497 0.4629
0.0000 0.0000 0.0000
0.4622 0.2988 0.9271
0.5378 0.7012 0.0729
```

---

5.
## Ac8PmY5 (PBE-GGA)

Data for a relaxed structure of Ac8PmY5.

Computed properties:
ΔH_f (0 K)   0.08 eV/atom

POSCAR file:
```
Ac8PmY5
1.0
7.2258 -0.5482 -2.1449
-4.3350 8.4651 -3.4651
0.7372 0.1000 9.1698
Ac Y Pm
8 5 1
direct
0.0157 0.1047 0.6097
0.7597 0.2369 0.3058
0.7591 0.9572 0.8765
0.2601 0.2315 0.3068
0.2659 0.8179 0.1535
0.5090 0.6750 0.4197
0.0240 0.6910 0.4362
0.5212 0.3933 0.9978
0.2658 0.9645 0.8742
0.0114 0.3883 0.0033
0.7697 0.8187 0.1591
0.5229 0.1062 0.6134
0.7849 0.5563 0.7463
0.2804 0.5585 0.7477
```

---

6.
## Ac5Pm6Y (PBE-GGA)

Data for a relaxed structure of Ac5Pm6Y.

Computed properties:
ΔH_f (0 K)   0.04 eV/atom

POSCAR file:
```
Ac5Pm6Y
1.0
-1.4904 5.1304 0.8737
-8.4644 -5.3692 0.3091
5.5529 -2.5962 7.9369
Ac Y Pm
5 1 6
direct
0.5000 0.1624 0.8376
0.0000 0.6676 0.3324
0.5000 0.5000 0.5000
0.0000 0.3324 0.6676
0.5000 0.8376 0.1624
0.0000 0.0000 0.0000
0.2480 0.0830 0.4128
0.7481 0.2479 0.2479
0.2519 0.7521 0.7521
0.7520 0.5872 0.9170
0.7520 0.9170 0.5872
0.2480 0.4128 0.0830
```

---

7.
## Ac2PmY4 (PBE-GGA)

Data for a relaxed structure of Ac2PmY4.

Computed properties:
ΔH_f (0 K)   0.59 eV/atom

POSCAR file:
```
Ac2PmY4
1.0
5.6477 0.0000 0.0000
0.0000 5.6477 0.0000
-2.8239 -2.8239 9.0203
Ac Pm Y
2 1 4
direct
0.6298 0.6298 0.2596
0.3702 0.3702 0.7404
0.0000 0.0000 0.0000
0.5000 0.0000 0.0000
0.8300 0.8300 0.6599
0.0000 0.5000 0.0000
0.1700 0.1700 0.3401
```

---

8.
## AcPm14Y (PBE-GGA)

Data for a relaxed structure of AcPm14Y.

Computed properties:
ΔH_f (0 K)   0.04 eV/atom

POSCAR file:
```
AcPm14Y
1.0
7.4128 -0.1109 0.0000
-3.6194 6.4701 0.0000
0.0000 0.0000 11.8620
Pm Y Ac
14 1 1
direct
0.3340 0.1686 0.2523
0.3340 0.1686 0.7477
0.3342 0.6658 0.7464
0.1665 0.8335 0.5000
0.1665 0.3327 0.5000
0.3342 0.6658 0.2536
0.8335 0.1665 0.7512
0.8314 0.6660 0.7477
0.6647 0.8313 0.0000
0.1687 0.3353 0.0000
0.6673 0.8335 0.5000
0.8314 0.6660 0.2523
0.8335 0.1665 0.2488
0.6672 0.3328 0.5000
0.6658 0.3342 0.0000
0.1673 0.8327 0.0000
```